# 1
Compound: Tl2CdTc
Source: the Alexandria database
Functional: GGA-PBE
Structure: relaxed

Cell and atoms, written as extended XYZ:
```
4
Lattice="-5.613 -0.593 0.083 -2.089 -4.740 -2.244 4.030 1.338 3.719" Properties=species:S:1:pos:R:3 pbc="T T T"
Tl -0.955 -3.034 0.197
Tl 0.000 0.000 0.000
Cd -3.851 -2.667 -1.080
Tc -2.717 -0.961 1.361
```

**Energy of formation from the pure elements**: 0.568 eV per atom
**Uncorrected energy**: -3.436 eV per atom
**Magnetization**: 0.98 μB/f.u.
**Excess energy over the best structure of this formula in the dataset**: 116.7 meV per atom

---

# 2
Compound: SrPbAu2
Source: the Alexandria database
Functional: GGA-PBE
Structure: relaxed

Cell and atoms, written as extended XYZ:
```
4
Lattice="4.592 0.000 0.000 0.000 4.302 0.013 0.000 2.158 5.515" Properties=species:S:1:pos:R:3 pbc="T T T"
Sr 2.296 5.116 4.664
Au 0.000 2.966 5.310
Au 2.296 0.794 1.549
Pb 0.000 2.973 2.284
```

**Energy of formation from the pure elements**: -0.484 eV per atom
**Uncorrected energy**: -3.470 eV per atom
**Magnetization**: 0.00 μB/f.u.